(1)
The following is a DFT calculation (GGA-PBE) of an optimized crystal structure of CsInF2.

The polymorph energy (0 for the lowest one) is 267 meV/atom. As for the volume: 362.6 Å³ per cell. For the total energy, the calculation gives -3.771 eV/atom. Its formation energy (no corrections) is -1937 meV per atom. Its density of states at the Fermi level is 0.00 states/eV/cell.

The structure belongs to space group Fm-3m (No. 225); the cell edges are 7.1307, 7.1307 and 7.1307 Å and the angles 90.00°, 90.00° and 90.00°. The asymmetric unit holds Cs at (0.0000, 0.0000, 0.0000), In at (0.0000, 0.0000, 0.5000) and F at (0.2500, 0.2500, 0.2500).


(2)
The following is a DFT calculation (GGA-PBE) of an optimized crystal structure of DyErZr.

The polymorph energy (0 for the lowest one) is 0 meV/atom. As for the volume: 167.9 Å³ per cell. As for the formation energy: 0.07 eV/atom. For the total energy, the calculation gives -5.832 eV/atom. Its density of states at the Fermi level is 8.74 states/eV/cell.

The structure belongs to space group I4mm (No. 107); the cell edges are 3.3918, 3.3918 and 14.5966 Å and the angles 90.00°, 90.00° and 90.00°. The asymmetric unit holds Dy at (0.0000, 0.0000, 0.0000), Er at (0.0000, 0.0000, 0.6871) and Zr at (0.0000, 0.0000, 0.3424).


(3)
The following is a DFT calculation (GGA-PBE) of an optimized crystal structure of BaEuTlIn.

As for the volume: 569.6 Å³ per cell. As for the formation energy: -0.40 eV/atom. For the total energy, the calculation gives -4.721 eV/atom. Its density of states at the Fermi level is 43.76 states/eV/cell.

The structure belongs to space group F-43m (No. 216); the cell edges are 8.2896, 8.2896 and 8.2896 Å and the angles 90.00°, 90.00° and 90.00°. The asymmetric unit holds Ba at (0.0000, 0.0000, 0.0000), Eu at (0.0000, 0.0000, 0.5000), Tl at (0.2500, 0.2500, 0.7500) and In at (0.2500, 0.2500, 0.2500).